The following is a GGA-PBE calculation of a geometry-optimized La4PmCd2 structure, from Alexandria via LeMat-Bulk.

Cell lengths 5.7121, 5.7121, 9.5895 Å; angles 72.67, 72.67, 60.00 degrees
Element x y z (fractional)
La: 0.8707 0.8707 0.3879
Pm: 0.5000 0.5000 0.5000
La: 0.7350 0.7350 0.7950
La: 0.1293 0.1293 0.6121
Cd: 0.3850 0.3850 0.8451
La: 0.2650 0.2650 0.2050
Cd: 0.6150 0.6150 0.1549

Its total energy is -3.6745 eV/atom.

The following is a GGA-PBE calculation of a geometry-optimized Er3SeS2 structure, from Alexandria via LeMat-Bulk.

Cell lengths 3.9453, 6.9136, 10.7636 Å; angles 90.00, 90.00, 106.58 degrees
Element x y z (fractional)
Er: 0.0970 0.1940 0.7500
Er: 0.3553 0.7107 0.9441
S: 0.0000 0.0000 0.5000
Se: 0.7535 0.5070 0.7500
Se: 0.2465 0.4930 0.2500
Er: 0.3553 0.7107 0.5559
S: 0.5291 0.0582 0.2500
Er: 0.6447 0.2893 0.0559
Er: 0.6447 0.2893 0.4441
Er: 0.9030 0.8060 0.2500
S: 0.4709 0.9418 0.7500
S: 0.0000 0.0000 0.0000

Its energy above the most stable polymorph in this dataset is 315 meV per atom. Its formation energy (no corrections) is -1.5409 eV per atom.

The following is a GGA-PBE calculation of a geometry-optimized ZrUAlO6 structure, from Alexandria via LeMat-Bulk.

Cell lengths 5.1974, 5.1974, 9.4600 Å; angles 90.00, 90.00, 120.00 degrees
Last column: magnetic moment on the atom in μB.
Element x y z (fractional)
O: 0.9739 0.3288 0.1347  -0.02
O: 0.9739 0.6452 0.3653  -0.02
O: 0.3548 0.3288 0.3653  -0.02
Al: 0.3333 0.6667 0.7500  0.00
O: 0.6452 0.9740 0.8653  -0.02
O: 0.3548 0.0260 0.1347  -0.02
O: 0.6452 0.6712 0.6347  -0.02
O: 0.0261 0.3548 0.6347  -0.02
O: 0.0261 0.6712 0.8653  -0.02
Zr: 0.6667 0.3333 0.7500  -0.01
O: 0.6712 0.6452 0.1347  -0.02
O: 0.3288 0.3548 0.8653  -0.02
O: 0.3288 0.9740 0.6347  -0.02
U: 0.0000 0.0000 0.5000  1.09
Zr: 0.3333 0.6667 0.2500  -0.01
U: 0.0000 0.0000 0.0000  1.09
Al: 0.6667 0.3333 0.2500  0.00
O: 0.6712 0.0260 0.3653  -0.02

Its formation energy (no corrections) is -3.1158 eV per atom.

The following is a GGA-PBE calculation of a geometry-optimized In2Hg4BiPb2 structure, from Alexandria via LeMat-Bulk.

Cell lengths 3.4683, 3.4683, 24.5994 Å; angles 90.00, 90.00, 120.00 degrees
Element x y z (fractional)
Hg: 0.0000 0.0000 0.7672
Pb: 0.6667 0.3333 0.2025
Bi: 0.0000 0.0000 0.3241
In: 0.0000 0.0000 0.9715
Hg: 0.6667 0.3333 0.0772
Hg: 0.0000 0.0000 0.5590
Hg: 0.6667 0.3333 0.8680
In: 0.6667 0.3333 0.6629
Pb: 0.6667 0.3333 0.4447

Its total energy is -1.9770 eV/atom.